Entry from OQMD: a relaxed LuScCuAu crystal (GGA-PBE).

**E_form**: -0.565 eV per atom
**Magnetization**: 0.0 μB per formula unit

Lattice parameters (Å, degrees): 4.8118 4.8118 4.8118 60.00 60.00 60.00
Last column: nearest neighbours and their distance in Å.
Fractional coordinates of all 4 atoms:
Lu1 0.0000 0.0000 0.0000  4 Cu 2.95, 4 Au 2.95
Sc1 0.5000 0.5000 0.5000  4 Cu 2.95, 4 Au 2.95
Cu1 0.7500 0.7500 0.7500  4 Sc 2.95, 4 Lu 2.95
Au1 0.2500 0.2500 0.2500  4 Sc 2.95, 4 Lu 2.95